#a
{"formula": "CaWAu2", "functional": "meta-GGA SCAN", "state": "single point on PBEsol structure", "space_group": "Pmm2 (25)", "cell": [[2.8373, 0.0000, 0.0000], [0.0000, 4.4315, 0.0000], [0.0000, 0.0000, 5.9610]], "species": ["Ca", "W", "Au", "Au"], "frac_coords": [[0.0000, 0.0000, 0.0000], [0.5000, 0.5000, 0.3316], [0.0000, 0.0000, 0.4841], [0.5000, 0.5000, 0.7886]]}

=====

#b
{"formula": "CaWAu2", "functional": "meta-GGA SCAN", "state": "single point on PBEsol structure", "space_group": "Imm2 (44)", "cell": [[-1.4767, 2.4425, 5.1690], [1.4767, -2.4425, 5.1690], [1.4767, 2.4425, -5.1690]], "species": ["Ca", "W", "Au", "Au"], "frac_coords": [[0.0000, 0.0000, 0.0000], [0.2783, 0.7783, 0.5000], [0.5014, 0.5014, 0.0000], [0.7358, 0.2358, 0.5000]]}

=====

Which of them is most stable, and which least? Most stable: #b; least stable: #a.

=====

#a
{"formula": "CaW2Au", "functional": "meta-GGA SCAN", "state": "single point on PBEsol structure", "space_group": "F-43m (216)", "cell": [[0.0000, 3.2715, 3.2715], [3.2715, 0.0000, 3.2715], [3.2715, 3.2715, 0.0000]], "species": ["Ca", "W", "W", "Au"], "frac_coords": [[0.0000, 0.0000, 0.0000], [0.5000, 0.5000, 0.5000], [0.7500, 0.7500, 0.7500], [0.2500, 0.2500, 0.2500]]}

=====

#b
{"formula": "CaW2Au", "functional": "meta-GGA SCAN", "state": "single point on PBEsol structure", "space_group": "P2/m (10)", "cell": [[2.8026, 0.0000, 0.0000], [0.0000, 5.1904, 0.0000], [-0.3097, 0.0000, 4.9954]], "species": ["Ca", "W", "W", "Au"], "frac_coords": [[0.0000, 0.0000, 0.0000], [0.3561, 0.5000, 0.7510], [0.6439, 0.5000, 0.2490], [0.5000, 0.0000, 0.5000]]}

=====

Which of them is most stable, and which least? Most stable: #b; least stable: #a.

=====

#a
{"formula": "CaW2Au", "functional": "meta-GGA SCAN", "state": "single point on PBEsol structure", "space_group": "Cmm2 (35)", "cell": [[1.6762, -2.2472, 0.0000], [1.6762, 2.2472, 0.0000], [0.0000, 0.0000, 9.4303]], "species": ["Ca", "W", "W", "Au"], "frac_coords": [[0.0000, 0.0000, 0.0000], [0.0000, 0.0000, 0.4962], [0.5000, 0.5000, 0.2758], [0.5000, 0.5000, 0.7370]]}

=====

#b
{"formula": "CaW2Au", "functional": "meta-GGA SCAN", "state": "single point on PBEsol structure", "space_group": "Pmmm (47)", "cell": [[3.0639, 0.0000, 0.0000], [0.0000, 4.5650, 0.0000], [0.0000, 0.0000, 5.1168]], "species": ["Ca", "W", "W", "Au"], "frac_coords": [[0.0000, 0.0000, 0.0000], [0.0000, 0.5000, 0.5000], [0.5000, 0.0000, 0.5000], [0.5000, 0.5000, 0.0000]]}

=====

Which of them is most stable, and which least? Most stable: #a; least stable: #b.

=====

#a
{"formula": "Cd4Au3", "functional": "meta-GGA SCAN", "state": "single point on PBEsol structure", "space_group": "I4/mmm (139)", "cell": [[-1.7848, 1.7848, 10.2857], [1.7848, -1.7848, 10.2857], [1.7848, 1.7848, -10.2857]], "species": ["Cd", "Cd", "Cd", "Cd", "Au", "Au", "Au"], "frac_coords": [[0.0706, 0.0706, 0.0000], [0.3519, 0.3519, 0.0000], [0.6481, 0.6481, 0.0000], [0.9294, 0.9294, 0.0000], [0.2129, 0.2129, 0.0000], [0.5000, 0.5000, 0.0000], [0.7871, 0.7871, 0.0000]]}

=====

#b
{"formula": "Cd4Au3", "functional": "meta-GGA SCAN", "state": "single point on PBEsol structure", "space_group": "P6/mmm (191)", "cell": [[5.4287, 0.0000, 0.0000], [-2.7144, 4.7014, 0.0000], [0.0000, 0.0000, 5.3179]], "species": ["Cd", "Cd", "Cd", "Cd", "Au", "Au", "Au"], "frac_coords": [[0.0000, 0.0000, 0.2464], [0.0000, 0.0000, 0.7536], [0.3333, 0.6667, 0.0000], [0.6667, 0.3333, 0.0000], [0.0000, 0.5000, 0.5000], [0.5000, 0.0000, 0.5000], [0.5000, 0.5000, 0.5000]]}

=====

Which of them is most stable, and which least? Most stable: #a; least stable: #b.

=====

#a
{"formula": "Cd5Au4", "functional": "meta-GGA SCAN", "state": "single point on PBEsol structure", "space_group": "P6_3/mcm (193)", "cell": [[8.2194, 0.0000, 0.0000], [-4.1097, 7.1182, 0.0000], [0.0000, 0.0000, 5.7422]], "species": ["Cd", "Cd", "Cd", "Cd", "Cd", "Cd", "Cd", "Cd", "Cd", "Cd", "Au", "Au", "Au", "Au", "Au", "Au", "Au", "Au"], "frac_coords": [[0.0000, 0.2947, 0.2500], [0.0000, 0.7053, 0.7500], [0.2947, 0.0000, 0.2500], [0.2947, 0.2947, 0.7500], [0.3333, 0.6667, 0.0000], [0.3333, 0.6667, 0.5000], [0.6667, 0.3333, 0.0000], [0.6667, 0.3333, 0.5000], [0.7053, 0.0000, 0.7500], [0.7053, 0.7053, 0.2500], [0.0000, 0.0000, 0.0000], [0.0000, 0.0000, 0.5000], [0.0000, 0.3729, 0.7500], [0.0000, 0.6271, 0.2500], [0.3729, 0.0000, 0.7500], [0.3729, 0.3729, 0.2500], [0.6271, 0.0000, 0.2500], [0.6271, 0.6271, 0.7500]]}

=====

#b
{"formula": "Cd5Au4", "functional": "meta-GGA SCAN", "state": "single point on PBEsol structure", "space_group": "I4/mmm (139)", "cell": [[-4.3984, 4.3984, 2.1309], [4.3984, -4.3984, 2.1309], [4.3984, 4.3984, -2.1309]], "species": ["Cd", "Cd", "Cd", "Cd", "Cd", "Au", "Au", "Au", "Au"], "frac_coords": [[0.0000, 0.0000, 0.0000], [0.3305, 0.3305, 0.6610], [0.3305, 0.6695, 0.0000], [0.6695, 0.3305, 0.0000], [0.6695, 0.6695, 0.3390], [0.0000, 0.3330, 0.3330], [0.0000, 0.6670, 0.6670], [0.3330, 0.0000, 0.3330], [0.6670, 0.0000, 0.6670]]}

=====

Which of them is most stable, and which least? Most stable: #a; least stable: #b.

=====

#a
{"formula": "Cd3Au5", "functional": "meta-GGA SCAN", "state": "single point on PBEsol structure", "space_group": "Cm (8)", "cell": [[2.6702, -7.4044, 0.0000], [2.6702, 7.4044, 0.0000], [-1.3272, 0.0000, 7.4363]], "species": ["Cd", "Cd", "Cd", "Cd", "Cd", "Cd", "Au", "Au", "Au", "Au", "Au", "Au", "Au", "Au", "Au", "Au"], "frac_coords": [[0.0000, 0.0000, 0.0000], [0.4793, 0.9097, 0.6767], [0.5856, 0.5856, 0.6149], [0.6078, 0.9458, 0.2748], [0.9097, 0.4793, 0.6767], [0.9458, 0.6078, 0.2748], [0.1557, 0.4651, 0.3978], [0.1866, 0.9976, 0.6907], [0.3023, 0.9033, 0.0099], [0.4395, 0.6423, 0.9370], [0.4651, 0.1557, 0.3978], [0.4682, 0.4682, 0.2346], [0.6423, 0.4395, 0.9370], [0.9033, 0.3023, 0.0099], [0.9886, 0.9886, 0.3657], [0.9976, 0.1866, 0.6907]]}

=====

#b
{"formula": "Cd3Au5", "functional": "meta-GGA SCAN", "state": "single point on PBEsol structure", "space_group": "Cmmm (65)", "cell": [[3.9474, -4.2761, 0.0000], [3.9474, 4.2761, 0.0000], [0.0000, 0.0000, 4.2156]], "species": ["Cd", "Cd", "Cd", "Au", "Au", "Au", "Au", "Au"], "frac_coords": [[0.0000, 0.0000, 0.0000], [0.2613, 0.7387, 0.5000], [0.7387, 0.2613, 0.5000], [0.0000, 0.5000, 0.0000], [0.2417, 0.2417, 0.5000], [0.5000, 0.0000, 0.0000], [0.5000, 0.5000, 0.0000], [0.7583, 0.7583, 0.5000]]}

=====

Which of them is most stable, and which least? Most stable: #b; least stable: #a.

=====

#a
{"formula": "Cd2AuCl", "functional": "meta-GGA SCAN", "state": "single point on PBEsol structure", "space_group": "P4/mmm (123)", "cell": [[3.2462, 0.0000, 0.0000], [0.0000, 3.2462, 0.0000], [0.0000, 0.0000, 7.5920]], "species": ["Cd", "Cd", "Au", "Cl"], "frac_coords": [[0.0000, 0.0000, 0.2263], [0.0000, 0.0000, 0.7737], [0.5000, 0.5000, 0.0000], [0.5000, 0.5000, 0.5000]]}

=====

#b
{"formula": "Cd2AuCl", "functional": "meta-GGA SCAN", "state": "single point on PBEsol structure", "space_group": "R-3m (166)", "cell": [[1.7424, 1.0060, 7.9699], [-1.7424, 1.0060, 7.9699], [0.0000, -2.0119, 7.9699]], "species": ["Cd", "Cd", "Au", "Cl"], "frac_coords": [[0.2468, 0.2468, 0.2468], [0.7532, 0.7532, 0.7532], [0.5000, 0.5000, 0.5000], [0.0000, 0.0000, 0.0000]]}

=====

Which of them is most stable, and which least? Most stable: #b; least stable: #a.

=====

#a
{"formula": "CdCuAu", "functional": "meta-GGA SCAN", "state": "single point on PBEsol structure", "space_group": "P3m1 (156)", "cell": [[4.4304, 0.0000, 0.0000], [-2.2152, 3.8369, 0.0000], [0.0000, 0.0000, 2.8582]], "species": ["Cd", "Cu", "Au"], "frac_coords": [[0.0000, 0.0000, 0.0000], [0.6667, 0.3333, 0.5517], [0.3333, 0.6667, 0.4753]]}

=====

#b
{"formula": "CdCuAu", "functional": "meta-GGA SCAN", "state": "single point on PBEsol structure", "space_group": "I4mm (107)", "cell": [[-1.5912, 1.5912, 4.7192], [1.5912, -1.5912, 4.7192], [1.5912, 1.5912, -4.7192]], "species": ["Cd", "Cu", "Au"], "frac_coords": [[0.0000, 0.0000, 0.0000], [0.6642, 0.6642, 0.0000], [0.3110, 0.3110, 0.0000]]}

=====

Which of them is most stable, and which least? Most stable: #b; least stable: #a.

=====

#a
{"formula": "Cd2FeAu", "functional": "meta-GGA SCAN", "state": "single point on PBEsol structure", "space_group": "I4/mmm (139)", "cell": [[-2.1148, 2.1148, 3.7687], [2.1148, -2.1148, 3.7687], [2.1148, 2.1148, -3.7687]], "species": ["Cd", "Cd", "Fe", "Au"], "frac_coords": [[0.2500, 0.7500, 0.5000], [0.7500, 0.2500, 0.5000], [0.0000, 0.0000, 0.0000], [0.5000, 0.5000, 0.0000]]}

=====

#b
{"formula": "Cd2FeAu", "functional": "meta-GGA SCAN", "state": "single point on PBEsol structure", "space_group": "P4/mmm (123)", "cell": [[2.8714, 0.0000, 0.0000], [0.0000, 2.8714, 0.0000], [0.0000, 0.0000, 8.1011]], "species": ["Cd", "Cd", "Fe", "Au"], "frac_coords": [[0.0000, 0.0000, 0.2344], [0.0000, 0.0000, 0.7656], [0.5000, 0.5000, 0.0000], [0.5000, 0.5000, 0.5000]]}

=====

Which of them is most stable, and which least? Most stable: #b; least stable: #a.

=====

#a
{"formula": "Cd2HgAu2", "functional": "meta-GGA SCAN", "state": "single point on PBEsol structure", "space_group": "P4/mbm (127)", "cell": [[7.5644, 0.0000, 0.0000], [0.0000, 7.5644, 0.0000], [0.0000, 0.0000, 3.4306]], "species": ["Cd", "Cd", "Cd", "Cd", "Hg", "Hg", "Au", "Au", "Au", "Au"], "frac_coords": [[0.1606, 0.3394, 0.0000], [0.3394, 0.8394, 0.0000], [0.6606, 0.1606, 0.0000], [0.8394, 0.6606, 0.0000], [0.0000, 0.0000, 0.5000], [0.5000, 0.5000, 0.5000], [0.1375, 0.6375, 0.5000], [0.3625, 0.1375, 0.5000], [0.6375, 0.8625, 0.5000], [0.8625, 0.3625, 0.5000]]}

=====

#b
{"formula": "Cd2HgAu2", "functional": "meta-GGA SCAN", "state": "single point on PBEsol structure", "space_group": "I4/mmm (139)", "cell": [[-1.9241, 1.9241, 7.0697], [1.9241, -1.9241, 7.0697], [1.9241, 1.9241, -7.0697]], "species": ["Cd", "Cd", "Hg", "Au", "Au"], "frac_coords": [[0.1007, 0.1007, 0.0000], [0.8993, 0.8993, 0.0000], [0.5000, 0.5000, 0.0000], [0.2500, 0.7500, 0.5000], [0.7500, 0.2500, 0.5000]]}

=====

Which of them is most stable, and which least? Most stable: #a; least stable: #b.

=====

#a
{"formula": "KCd3Au", "functional": "meta-GGA SCAN", "state": "single point on PBEsol structure", "space_group": "Pm-3m (221)", "cell": [[5.2655, 0.0000, 0.0000], [0.0000, 5.2655, 0.0000], [0.0000, 0.0000, 5.2655]], "species": ["K", "Cd", "Cd", "Cd", "Au"], "frac_coords": [[0.0000, 0.0000, 0.0000], [0.0000, 0.5000, 0.5000], [0.5000, 0.0000, 0.5000], [0.5000, 0.5000, 0.0000], [0.5000, 0.5000, 0.5000]]}

=====

#b
{"formula": "KCd3Au", "functional": "meta-GGA SCAN", "state": "single point on PBEsol structure", "space_group": "Pm-3m (221)", "cell": [[6.1000, 0.0000, 0.0000], [0.0000, 6.1000, 0.0000], [0.0000, 0.0000, 6.1000]], "species": ["K", "Cd", "Cd", "Cd", "Au"], "frac_coords": [[0.0000, 0.0000, 0.0000], [0.0000, 0.0000, 0.5000], [0.0000, 0.5000, 0.0000], [0.5000, 0.0000, 0.0000], [0.5000, 0.5000, 0.5000]]}

=====

Which of them is most stable, and which least? Most stable: #a; least stable: #b.

=====

#a
{"formula": "LiCd2Au", "functional": "meta-GGA SCAN", "state": "single point on PBEsol structure", "space_group": "P4mm (99)", "cell": [[3.3104, 0.0000, 0.0000], [0.0000, 3.3104, 0.0000], [0.0000, 0.0000, 6.4287]], "species": ["Li", "Cd", "Cd", "Au"], "frac_coords": [[0.0000, 0.0000, 0.0000], [0.0000, 0.0000, 0.4564], [0.5000, 0.5000, 0.7500], [0.5000, 0.5000, 0.1954]]}

=====

#b
{"formula": "LiCd2Au", "functional": "meta-GGA SCAN", "state": "single point on PBEsol structure", "space_group": "F-43m (216)", "cell": [[0.0000, 3.2805, 3.2805], [3.2805, 0.0000, 3.2805], [3.2805, 3.2805, 0.0000]], "species": ["Li", "Cd", "Cd", "Au"], "frac_coords": [[0.0000, 0.0000, 0.0000], [0.5000, 0.5000, 0.5000], [0.7500, 0.7500, 0.7500], [0.2500, 0.2500, 0.2500]]}

=====

Which of them is most stable, and which least? Most stable: #b; least stable: #a.

=====

#a
{"formula": "LiCd2Au", "functional": "meta-GGA SCAN", "state": "single point on PBEsol structure", "space_group": "Pmmm (47)", "cell": [[3.0911, 0.0000, 0.0000], [0.0000, 3.8686, 0.0000], [0.0000, 0.0000, 5.9598]], "species": ["Li", "Cd", "Cd", "Au"], "frac_coords": [[0.0000, 0.0000, 0.0000], [0.5000, 0.5000, 0.2461], [0.5000, 0.5000, 0.7539], [0.0000, 0.0000, 0.5000]]}

=====

#b
{"formula": "LiCd2Au", "functional": "meta-GGA SCAN", "state": "single point on PBEsol structure", "space_group": "I-4m2 (119)", "cell": [[-2.0616, 2.0616, 4.1457], [2.0616, -2.0616, 4.1457], [2.0616, 2.0616, -4.1457]], "species": ["Li", "Cd", "Cd", "Au"], "frac_coords": [[0.0000, 0.0000, 0.0000], [0.2500, 0.7500, 0.5000], [0.5000, 0.5000, 0.0000], [0.7500, 0.2500, 0.5000]]}

=====

Which of them is most stable, and which least? Most stable: #b; least stable: #a.